! NbNiF2 (PBE+U, optimized geometry); values from VASP
&SYSTEM
  ibrav = 0, nat = 8, ntyp = 3
/
ATOMIC_SPECIES
Ni 58.69 Ni.upf
Nb 92.91 Nb.upf
F 19.00 F.upf
CELL_PARAMETERS angstrom
-2.4250 -0.2281 -4.5207
-0.2490 -5.1141 0.3916
-5.1369 -2.3313 -0.0433
ATOMIC_POSITIONS angstrom
Ni -1.3370 -2.6711 -2.0645
Ni -3.3614 -5.0583 -0.8581
Nb 0.0000 0.0000 0.0000
Nb -4.4495 -2.6153 -3.3143
F -2.7812 -1.3600 -2.6944
F -1.7928 -3.8124 -0.4240
F -4.8605 -3.8569 -1.5729
F -6.1873 -6.3179 -3.6535
! Energy relative to the lowest polymorph listed for this composition: 1079 meV/atom
! Space-group type: I-42d, No. 122
! DFT total energy: -33.8 eV for the cell shown